First-principles (GGA-PBE) data for AlVGaFe after structural relaxation, as listed in Alexandria.

Computed properties:
- E: -0.4573 Ry per atom
- Fermi-level density of states: 2.03 states/eV/f.u.
- Total magnetic moment: 1.15 μB/cell
- Calculated formation energy: -0.13 eV per atom

Cell: 5.9723 5.9723 5.9723 Å, 90.00 90.00 90.00°
Space group F-43m (No. 216)
One atom of each set of equivalent atoms:
1 Al 0.0000 0.0000 0.0000 x4
2 V 0.0000 0.0000 0.5000 x4
3 Ga 0.2500 0.2500 0.2500 x4
4 Fe 0.2500 0.2500 0.7500 x4